Material: BeB
Method: DFT, GGA-PBE
State: relaxed

The space group is P4_2/mnm (No. 136) and the conventional cell measures 5.828, 5.828 and 2.270 Å, with angles of 90.00, 90.00 and 90.00 degrees. Symmetry generates all atoms from Be at (0.219, 0.219, 0.000) and B at (0.098, 0.902, 0.000).

For the calculated total energy, the calculation gives -0.1761 hartree per atom. For the mass density, the calculation gives 1.7 g/cm³. The total moment comes out at 0.0 μB per cell.